No. 1
Entry from Alexandria: a geometry-optimized TcNiP structure (PBEsol).

Lattice parameters (Å, degrees): 3.793 3.793 3.793 60.00 60.00 60.00
Positions (direct):
Tc: 0.000 0.000 0.000
Ni: 0.500 0.500 0.500
P: 0.250 0.250 0.250

Spin magnetization ... 0.0 μB per formula unit
Energy above the lowest structure with this stoichiometry ... 0 meV per atom
Energy of formation ... -483 meV/atom

***

No. 2
Entry from Alexandria: a geometry-optimized La3BS structure (PBEsol).

Lattice parameters (Å, degrees): 5.322 5.322 5.322 90.00 90.00 90.00
Positions (direct):
La: 0.000 0.000 0.500
La: 0.000 0.500 0.000
La: 0.500 0.000 0.000
B: 0.500 0.500 0.500
S: 0.000 0.000 0.000

Spin magnetization ... 0.0 μB per formula unit
E ... -5.5067 eV/atom

***

- What is the spin magnetization in the first record?
  0.0 μB per formula unit

***

What did the first record say?
Entry from Alexandria: a geometry-optimized TcNiP structure (PBEsol).

Lattice parameters (Å, degrees): 3.793 3.793 3.793 60.00 60.00 60.00
Positions (direct):
Tc: 0.000 0.000 0.000
Ni: 0.500 0.500 0.500
P: 0.250 0.250 0.250

Spin magnetization ... 0.0 μB per formula unit
Energy above the lowest structure with this stoichiometry ... 0 meV per atom
Energy of formation ... -483 meV/atom

***

- Look up the spin magnetization of the first one.
  0.0 μB per formula unit